Material: K4MnO4
Method: DFT, GGA+U
State: relaxed

Properties
For the magnetization, the calculation gives 3.000 μB/f.u. The value obtained for the relative energy among the computed polymorphs is 66 meV per atom. For the density, the calculation gives 2.7 g/cm3. As for the symmetry: No. 137.

abc: 5.8650 7.5583 7.5583
angles: 90.00 90.00 90.00
Sites, in units of the cell vectors:
1 K 0.6276 0.9999 0.7176
2 K 0.1276 0.7824 0.4999
3 K 0.1276 0.2176 0.5001
4 K 0.8724 0.5001 0.7824
5 K 0.6276 0.0001 0.2824
6 K 0.3724 0.7176 0.0001
7 K 0.3724 0.2824 0.9999
8 K 0.8724 0.4999 0.2176
9 O 0.1674 0.0001 0.2057
10 O 0.8326 0.2057 0.9999
11 O 0.1674 0.9999 0.7943
12 O 0.6674 0.7057 0.4999
13 O 0.3326 0.4999 0.2943
14 O 0.6674 0.2943 0.5001
15 O 0.8326 0.7943 0.0001
16 O 0.3326 0.5001 0.7057
17 Mn 0.5000 0.5000 0.5000
18 Mn 0.0000 0.0000 0.0000